(1)
Computed, not measured: a relaxed Pm3DySe6 crystal at the GGA-PBE level of DFT.

Geometry as CIF:
```
data_Pm3DySe6
_chemical_formula_sum 'Pm18 Dy6 Se36'
_symmetry_space_group_name_H-M 'R -3'
_symmetry_Int_Tables_number 148
_symmetry_space_group_name_Hall '-R 3'
_cell_length_a 12.2200
_cell_length_b 12.2200
_cell_length_c 14.5247
_cell_angle_alpha 90.00
_cell_angle_beta 90.00
_cell_angle_gamma 120.00
loop_
_atom_site_label
_atom_site_type_symbol
_atom_site_fract_x
_atom_site_fract_y
_atom_site_fract_z
_atom_site_occupancy
Pm1 Pm 0.0517 0.2715 0.2015 1
Dy1 Dy 0.0000 0.0000 0.0000 1
Dy2 Dy 0.0000 0.0000 0.5000 1
Se1 Se 0.0199 0.2095 0.3978 1
Se2 Se 0.0324 0.1936 0.8779 1
```

Uncorrected formation energy: -1.86 eV per atom
Energy relative to the lowest polymorph listed for this composition: 0.00 eV/f.u.
DOS(E_F): 0.000 states/eV per cell
Total energy: -350.44 eV/cell
Crystal system: trigonal

(2)
Computed, not measured: a relaxed Re2PbBr crystal at the GGA-PBE level of DFT.

Geometry as CIF:
```
data_Re2PbBr
_chemical_formula_sum 'Re6 Pb3 Br3'
_symmetry_space_group_name_H-M 'R -3 m'
_symmetry_Int_Tables_number 166
_symmetry_space_group_name_Hall '-R 3 2"'
_cell_length_a 3.0842
_cell_length_b 3.0842
_cell_length_c 26.4352
_cell_angle_alpha 90.00
_cell_angle_beta 90.00
_cell_angle_gamma 120.00
loop_
_atom_site_label
_atom_site_type_symbol
_atom_site_fract_x
_atom_site_fract_y
_atom_site_fract_z
_atom_site_occupancy
Re1 Re 0.0000 0.0000 0.2472 1
Pb1 Pb 0.0000 0.0000 0.0000 1
Br1 Br 0.0000 0.0000 0.5000 1
```

Uncorrected formation energy: 1.30 eV per atom
Energy relative to the lowest polymorph listed for this composition: 3.96 eV/f.u.
DOS(E_F): 8.524 states/eV per cell
Total energy: -75.29 eV/cell
Crystal system: trigonal

(3)
Computed, not measured: a relaxed ScCBr2 crystal at the GGA-PBE level of DFT.

Geometry as CIF:
```
data_ScCBr2
_chemical_formula_sum 'Sc4 C4 Br8'
_symmetry_space_group_name_H-M 'I -4 2 d'
_symmetry_Int_Tables_number 122
_symmetry_space_group_name_Hall 'I -4 2bw'
_cell_length_a 4.495
_cell_length_b 4.495
_cell_length_c 17.338
_cell_angle_alpha 90.00
_cell_angle_beta 90.00
_cell_angle_gamma 90.00
loop_
_atom_site_label
_atom_site_type_symbol
_atom_site_fract_x
_atom_site_fract_y
_atom_site_fract_z
_atom_site_occupancy
Sc1 Sc 0.000 0.000 0.000 1
C1 C 0.000 0.000 0.500 1
Br1 Br 0.244 0.250 0.625 1
```

Uncorrected formation energy: 0.78 eV per atom
Energy relative to the lowest polymorph listed for this composition: 0.44 eV/f.u.
DOS(E_F): 13.068 states/eV per cell
Total energy: -63.08 eV/cell
Crystal system: tetragonal

(4)
Computed, not measured: a relaxed BeReHgH2 crystal at the GGA-PBE level of DFT.

Geometry as CIF:
```
data_BeReHgH2
_chemical_formula_sum 'Be1 Re1 Hg1 H2'
_symmetry_space_group_name_H-M 'P 4/m m m'
_symmetry_Int_Tables_number 123
_symmetry_space_group_name_Hall '-P 4 2'
_cell_length_a 3.570
_cell_length_b 3.570
_cell_length_c 4.468
_cell_angle_alpha 90.00
_cell_angle_beta 90.00
_cell_angle_gamma 90.00
loop_
_atom_site_label
_atom_site_type_symbol
_atom_site_fract_x
_atom_site_fract_y
_atom_site_fract_z
_atom_site_occupancy
Be1 Be 0.000 0.000 0.000 1
Re1 Re 0.000 0.000 0.500 1
Hg1 Hg 0.500 0.500 0.000 1
H1 H 0.000 0.500 0.500 1
```

DOS(E_F): 4.063 states/eV per cell
Total energy: -19.49 eV/cell
Crystal system: tetragonal

(5)
Computed, not measured: a relaxed Rb2NaCaTa crystal at the GGA-PBE level of DFT.

Geometry as CIF:
```
data_Rb2NaCaTa
_chemical_formula_sum 'Rb2 Na1 Ca1 Ta1'
_symmetry_space_group_name_H-M 'P 4/m m m'
_symmetry_Int_Tables_number 123
_symmetry_space_group_name_Hall '-P 4 2'
_cell_length_a 6.220
_cell_length_b 6.220
_cell_length_c 6.545
_cell_angle_alpha 90.00
_cell_angle_beta 90.00
_cell_angle_gamma 90.00
loop_
_atom_site_label
_atom_site_type_symbol
_atom_site_fract_x
_atom_site_fract_y
_atom_site_fract_z
_atom_site_occupancy
Rb1 Rb 0.000 0.500 0.000 1
Na1 Na 0.000 0.000 0.000 1
Ca1 Ca 0.000 0.000 0.500 1
Ta1 Ta 0.500 0.500 0.500 1
```

DOS(E_F): 5.376 states/eV per cell
Total energy: -9.55 eV/cell
Formation energy: 1.512 eV per atom
Crystal system: tetragonal

(6)
Computed, not measured: a relaxed TmTiAgOs crystal at the GGA-PBE level of DFT.

Geometry as CIF:
```
data_TmTiAgOs
_chemical_formula_sum 'Tm4 Ti4 Ag4 Os4'
_symmetry_space_group_name_H-M 'F -4 3 m'
_symmetry_Int_Tables_number 216
_symmetry_space_group_name_Hall 'F -4 2 3'
_cell_length_a 6.631
_cell_length_b 6.631
_cell_length_c 6.631
_cell_angle_alpha 90.00
_cell_angle_beta 90.00
_cell_angle_gamma 90.00
loop_
_atom_site_label
_atom_site_type_symbol
_atom_site_fract_x
_atom_site_fract_y
_atom_site_fract_z
_atom_site_occupancy
Tm1 Tm 0.000 0.000 0.000 1
Ti1 Ti 0.000 0.000 0.500 1
Ag1 Ag 0.250 0.250 0.750 1
Os1 Os 0.250 0.250 0.250 1
```

DOS(E_F): 14.625 states/eV per cell
Total energy: -108.49 eV/cell
Formation energy: -0.169 eV per atom
Crystal system: cubic

(7)
Computed, not measured: a relaxed AcY2Fe crystal at the GGA-PBE level of DFT.

Geometry as CIF:
```
data_AcY2Fe
_chemical_formula_sum 'Ac3 Y6 Fe3'
_symmetry_space_group_name_H-M 'R -3 m'
_symmetry_Int_Tables_number 166
_symmetry_space_group_name_Hall '-R 3 2"'
_cell_length_a 3.6930
_cell_length_b 3.6930
_cell_length_c 32.2633
_cell_angle_alpha 90.00
_cell_angle_beta 90.00
_cell_angle_gamma 120.00
loop_
_atom_site_label
_atom_site_type_symbol
_atom_site_fract_x
_atom_site_fract_y
_atom_site_fract_z
_atom_site_occupancy
Ac1 Ac 0.0000 0.0000 0.0000 1
Y1 Y 0.0000 0.0000 0.1144 1
Fe1 Fe 0.0000 0.0000 0.5000 1
```

Energy relative to the lowest polymorph listed for this composition: 0.74 eV/f.u.
DOS(E_F): 11.829 states/eV per cell
Total energy: -72.50 eV/cell
Formation energy: 0.333 eV per atom
Crystal system: trigonal

(8)
Computed, not measured: a relaxed TaIrSe crystal at the GGA-PBE level of DFT.

Geometry as CIF:
```
data_TaIrSe
_chemical_formula_sum 'Ta2 Ir2 Se2'
_symmetry_space_group_name_H-M 'I 4 m m'
_symmetry_Int_Tables_number 107
_symmetry_space_group_name_Hall 'I 4 -2'
_cell_length_a 3.081
_cell_length_b 3.081
_cell_length_c 10.649
_cell_angle_alpha 90.00
_cell_angle_beta 90.00
_cell_angle_gamma 90.00
loop_
_atom_site_label
_atom_site_type_symbol
_atom_site_fract_x
_atom_site_fract_y
_atom_site_fract_z
_atom_site_occupancy
Ta1 Ta 0.000 0.000 0.000 1
Ir1 Ir 0.000 0.000 0.346 1
Se1 Se 0.000 0.000 0.656 1
```

Uncorrected formation energy: -0.19 eV per atom
Energy relative to the lowest polymorph listed for this composition: 0.14 eV/f.u.
DOS(E_F): 3.630 states/eV per cell
Total energy: -49.57 eV/cell
Crystal system: tetragonal

(9)
Computed, not measured: a relaxed DyMnAl3 crystal at the GGA-PBE level of DFT.

Geometry as CIF:
```
data_DyMnAl3
_chemical_formula_sum 'Dy2 Mn2 Al6'
_symmetry_space_group_name_H-M 'P 63/m m c'
_symmetry_Int_Tables_number 194
_symmetry_space_group_name_Hall '-P 6c 2c'
_cell_length_a 6.2397
_cell_length_b 6.2397
_cell_length_c 5.4273
_cell_angle_alpha 90.00
_cell_angle_beta 90.00
_cell_angle_gamma 120.00
loop_
_atom_site_label
_atom_site_type_symbol
_atom_site_fract_x
_atom_site_fract_y
_atom_site_fract_z
_atom_site_occupancy
Dy1 Dy 0.3333 0.6667 0.2500 1
Mn1 Mn 0.0000 0.0000 0.0000 1
Al1 Al 0.1872 0.3744 0.7500 1
```

Energy relative to the lowest polymorph listed for this composition: 0.00 eV/f.u.
DOS(E_F): 5.651 states/eV per cell
Total energy: -52.65 eV/cell
Formation energy: -0.266 eV per atom
Crystal system: hexagonal

(10)
Computed, not measured: a relaxed CsTm3Te4O12 crystal at the GGA-PBE level of DFT.

Geometry as CIF:
```
data_CsTm3Te4O12
_chemical_formula_sum 'Cs3 Tm9 Te12 O36'
_symmetry_space_group_name_H-M 'R 3 2'
_symmetry_Int_Tables_number 155
_symmetry_space_group_name_Hall 'R 3 2"'
_cell_length_a 11.4745
_cell_length_b 11.4745
_cell_length_c 9.2839
_cell_angle_alpha 90.00
_cell_angle_beta 90.00
_cell_angle_gamma 120.00
loop_
_atom_site_label
_atom_site_type_symbol
_atom_site_fract_x
_atom_site_fract_y
_atom_site_fract_z
_atom_site_occupancy
Cs1 Cs 0.0000 0.0000 0.0000 1
Tm1 Tm 0.0000 0.5760 0.0000 1
Te1 Te 0.0000 0.0000 0.5000 1
Te2 Te 0.0000 0.4060 0.5000 1
O1 O 0.0000 0.5752 0.5000 1
O2 O 0.0000 0.8206 0.5000 1
O3 O 0.0400 0.1907 0.2568 1
```

Uncorrected formation energy: -1.82 eV per atom
DOS(E_F): 11.209 states/eV per cell
Total energy: -368.07 eV/cell
Crystal system: trigonal